(1)
{"formula": "ScAgPb", "functional": "PBE-GGA", "state": "relaxed", "total_magnetization_mub_per_cell": 0.0, "rho_g_cm3": 7.5, "ef_kj_per_mol_fu": -5, "lattice": [[3.766, -0.431, 4.766], [1.737, 2.552, 1.129], [0.523, 0.192, 8.310]], "species": ["Sc", "Ag", "Pb"], "fractional_positions": [[0.500, 0.500, 0.000], [0.000, 0.000, 0.500], [0.000, 0.500, 0.000]]}

(2)
{"formula": "ScAgPb", "functional": "PBE-GGA", "state": "relaxed", "total_magnetization_mub_per_cell": 0.0, "rho_g_cm3": 8.9, "ef_kj_per_mol_fu": -61, "lattice": [[4.932, 0.006, 0.015], [-2.634, 4.182, -0.034], [4.609, 0.196, 6.518]], "species": ["Sc", "Sc", "Pb", "Pb", "Ag", "Ag"], "fractional_positions": [[0.407, 0.328, 0.764], [0.099, 0.994, 0.404], [0.276, 0.662, 0.559], [0.571, 0.992, 0.937], [0.741, 0.657, 0.100], [0.919, 0.326, 0.254]]}

(3)
{"formula": "ScAg2Pb2", "functional": "PBE-GGA", "state": "relaxed", "total_magnetization_mub_per_cell": 1.0, "rho_g_cm3": 9.3, "ef_kj_per_mol_fu": 36, "lattice": [[-1.868, -4.296, 6.834], [3.333, -6.799, -3.363], [3.132, 0.848, 1.389]], "species": ["Pb", "Pb", "Pb", "Pb", "Sc", "Sc", "Ag", "Ag", "Ag", "Ag"], "fractional_positions": [[0.337, 0.837, 0.000], [0.837, 0.663, 0.000], [0.663, 0.163, 0.000], [0.163, 0.337, 0.000], [0.000, 0.000, 0.000], [0.500, 0.500, 0.000], [0.136, 0.636, 0.500], [0.636, 0.864, 0.500], [0.864, 0.364, 0.500], [0.364, 0.136, 0.500]]}

(4)
{"formula": "ScAgPb2", "functional": "PBE-GGA", "state": "relaxed", "total_magnetization_mub_per_cell": 0.0, "rho_g_cm3": 9.3, "ef_kj_per_mol_fu": -43, "lattice": [[4.878, 0.000, 0.000], [0.000, 3.564, 0.037], [0.000, 1.713, 5.812]], "species": ["Ag", "Pb", "Pb", "Sc"], "fractional_positions": [[0.500, 0.545, 0.786], [0.000, 0.978, 0.920], [0.500, 0.265, 0.342], [0.000, 0.713, 0.451]]}

(5)
{"formula": "ScAgPb3", "functional": "PBE-GGA", "state": "relaxed", "total_magnetization_mub_per_cell": 0.0, "rho_g_cm3": 7.9, "ef_kj_per_mol_fu": 222, "lattice": [[5.461, 0.000, 0.000], [0.000, 5.461, 0.000], [0.000, 0.000, 5.461]], "species": ["Pb", "Pb", "Pb", "Sc", "Ag"], "fractional_positions": [[0.000, 0.500, 0.000], [0.000, 0.000, 0.500], [0.500, 0.000, 0.000], [0.500, 0.500, 0.500], [0.000, 0.000, 0.000]]}

(6)
{"formula": "ScAgPb3", "functional": "PBE-GGA", "state": "relaxed", "total_magnetization_mub_per_cell": 0.0, "rho_g_cm3": 9.9, "ef_kj_per_mol_fu": -16, "lattice": [[0.750, 2.869, -1.753], [5.031, -3.378, -6.886], [-3.646, -3.978, -1.285]], "species": ["Sc", "Ag", "Pb", "Pb", "Pb"], "fractional_positions": [[0.494, 0.144, 0.424], [0.877, 0.755, 0.615], [0.312, 0.321, 0.833], [0.703, 0.942, 0.030], [0.068, 0.562, 0.204]]}

(7)
{"formula": "ScAgPb2", "functional": "PBE-GGA", "state": "relaxed", "total_magnetization_mub_per_cell": 0.0, "rho_g_cm3": 9.4, "ef_kj_per_mol_fu": -11, "lattice": [[-4.699, 2.231, 0.472], [-4.659, 0.229, -2.350], [-3.002, -4.241, 2.966]], "species": ["Ag", "Pb", "Pb", "Sc"], "fractional_positions": [[0.250, 0.250, 0.250], [0.996, 0.996, 0.002], [0.504, 0.504, 0.498], [0.750, 0.750, 0.750]]}

(8)
{"formula": "Sc5AgPb", "functional": "PBE-GGA", "state": "relaxed", "total_magnetization_mub_per_cell": 0.0, "rho_g_cm3": 5.5, "ef_kj_per_mol_fu": -36, "lattice": [[-4.029, 1.893, -3.267], [-3.808, -1.816, 3.563], [3.354, 9.441, 5.019]], "species": ["Sc", "Sc", "Sc", "Sc", "Sc", "Sc", "Sc", "Sc", "Sc", "Sc", "Ag", "Ag", "Pb", "Pb"], "fractional_positions": [[0.066, 0.480, 0.134], [0.228, 0.507, 0.438], [0.480, 0.066, 0.634], [0.985, 0.015, 0.250], [0.493, 0.772, 0.062], [0.507, 0.228, 0.938], [0.015, 0.985, 0.750], [0.520, 0.934, 0.366], [0.772, 0.493, 0.562], [0.934, 0.520, 0.866], [0.000, 0.000, 0.000], [0.000, 0.000, 0.500], [0.603, 0.397, 0.250], [0.397, 0.603, 0.750]]}

- What is the formula in the fourth record?
  ScAgPb2